Entry 1:
# PBE Tb2HoTm8, relaxed
data_Tb2HoTm8
_space_group_name_H-M_alt 'P 1'
_space_group_IT_number 1
_space_group_name_Hall 'P 1'
_cell_length_a 4.9389
_cell_length_b 7.8254
_cell_length_c 9.2598
_cell_angle_alpha 104.70
_cell_angle_beta 105.47
_cell_angle_gamma 90.00
loop_
_atom_site_label
_atom_site_type_symbol
_atom_site_fract_x
_atom_site_fract_y
_atom_site_fract_z
Tm1 Tm 0.9549 0.2726 0.9098
Tm2 Tm 0.8640 0.8192 0.7280
Tm3 Tm 0.3184 0.0914 0.6367
Tm4 Tm 0.0451 0.7274 0.0902
Tm5 Tm 0.1360 0.1808 0.2720
Tm6 Tm 0.4096 0.5454 0.8193
Tm7 Tm 0.5904 0.4546 0.1807
Tm8 Tm 0.6816 0.9086 0.3633
Ho1 Ho 0.5000 0.0000 0.0000
Tb1 Tb 0.2273 0.6368 0.4546
Tb2 Tb 0.7727 0.3632 0.5454
# E_tot: -49.34 eV for the cell shown
# E_form: 25.7 kJ/mol of formula units
# energy above the lowest structure with this stoichiometry: 0.000 eV per atom

Entry 2:
# PBE Tb3Ho7Tm2, relaxed
data_Tb3Ho7Tm2
_space_group_name_H-M_alt 'P 1'
_space_group_IT_number 1
_space_group_name_Hall 'P 1'
_cell_length_a 3.5264
_cell_length_b 5.7431
_cell_length_c 18.4987
_cell_angle_alpha 93.33
_cell_angle_beta 90.00
_cell_angle_gamma 90.00
loop_
_atom_site_label
_atom_site_type_symbol
_atom_site_fract_x
_atom_site_fract_y
_atom_site_fract_z
Ho1 Ho 0.5000 0.8112 0.8214
Ho2 Ho 0.5000 0.1888 0.1786
Ho3 Ho 0.0000 0.6862 0.1439
Ho4 Ho 0.5000 0.7427 0.4633
Ho5 Ho 0.5000 0.2573 0.5367
Ho6 Ho 0.0000 0.0000 0.0000
Ho7 Ho 0.0000 0.3138 0.8561
Tm1 Tm 0.5000 0.2904 0.7060
Tm2 Tm 0.5000 0.7096 0.2940
Tb1 Tb 0.5000 0.5000 0.0000
Tb2 Tb 0.0000 0.7782 0.6332
Tb3 Tb 0.0000 0.2218 0.3668
# E_tot: -53.78 eV for the cell shown
# E_form: 105.9 kJ/mol of formula units
# energy above the lowest structure with this stoichiometry: 0.019 eV per atom

Entry 3:
# PBE Tb3Ho2Tm6, relaxed
data_Tb3Ho2Tm6
_space_group_name_H-M_alt 'P 1'
_space_group_IT_number 1
_space_group_name_Hall 'P 1'
_cell_length_a 4.6679
_cell_length_b 4.6679
_cell_length_c 16.7331
_cell_angle_alpha 98.02
_cell_angle_beta 98.02
_cell_angle_gamma 90.00
loop_
_atom_site_label
_atom_site_type_symbol
_atom_site_fract_x
_atom_site_fract_y
_atom_site_fract_z
Tm1 Tm 0.3786 0.8786 0.7571
Tm2 Tm 0.8786 0.3786 0.7571
Tm3 Tm 0.6214 0.1214 0.2429
Tm4 Tm 0.3051 0.3051 0.6103
Tm5 Tm 0.1214 0.6214 0.2429
Tm6 Tm 0.6949 0.6949 0.3897
Ho1 Ho 0.4537 0.4537 0.9074
Ho2 Ho 0.5463 0.5463 0.0926
Tb1 Tb 0.7986 0.7986 0.5971
Tb2 Tb 0.2014 0.2014 0.4029
Tb3 Tb 0.0000 0.0000 0.0000
# E_tot: -46.72 eV for the cell shown
# E_form: 304.3 kJ/mol of formula units
# energy above the lowest structure with this stoichiometry: 0.263 eV per atom

Entry 4:
# PBE Tb2Ho5Tm3, relaxed
data_Tb2Ho5Tm3
_space_group_name_H-M_alt 'P 1'
_space_group_IT_number 1
_space_group_name_Hall 'P 1'
_cell_length_a 9.3505
_cell_length_b 9.4005
_cell_length_c 10.9813
_cell_angle_alpha 125.70
_cell_angle_beta 125.60
_cell_angle_gamma 68.57
loop_
_atom_site_label
_atom_site_type_symbol
_atom_site_fract_x
_atom_site_fract_y
_atom_site_fract_z
Ho1 Ho 0.0184 0.7684 0.5368
Ho2 Ho 0.3961 0.1496 0.7693
Ho3 Ho 0.1268 0.3803 0.2307
Ho4 Ho 0.8732 0.6197 0.7693
Ho5 Ho 0.4781 0.7281 0.4562
Ho6 Ho 0.9816 0.2316 0.4632
Ho7 Ho 0.2795 0.5295 0.0591
Ho8 Ho 0.7205 0.4705 0.9409
Ho9 Ho 0.6039 0.8504 0.2307
Ho10 Ho 0.5219 0.2719 0.5438
Tb1 Tb 0.7799 0.0182 0.7520
Tb2 Tb 0.4720 0.7338 0.7520
Tb3 Tb 0.5280 0.2662 0.2480
Tb4 Tb 0.2201 0.9818 0.2480
Tm1 Tm 0.7276 0.4636 0.2397
Tm2 Tm 0.7757 0.0257 0.0513
Tm3 Tm 0.2724 0.5364 0.7603
Tm4 Tm 0.0121 0.7760 0.2397
Tm5 Tm 0.9879 0.2240 0.7603
Tm6 Tm 0.2243 0.9743 0.9487
# E_tot: -87.05 eV for the cell shown
# E_form: 196.7 kJ/mol of formula units
# energy above the lowest structure with this stoichiometry: 0.000 eV per atom

Entry 5:
# PBE TbHo5Tm6, relaxed
data_TbHo5Tm6
_space_group_name_H-M_alt 'P 1'
_space_group_IT_number 1
_space_group_name_Hall 'P 1'
_cell_length_a 6.0680
_cell_length_b 6.0626
_cell_length_c 11.5951
_cell_angle_alpha 85.00
_cell_angle_beta 79.98
_cell_angle_gamma 59.97
loop_
_atom_site_label
_atom_site_type_symbol
_atom_site_fract_x
_atom_site_fract_y
_atom_site_fract_z
Ho1 Ho 0.5000 0.0000 0.5000
Ho2 Ho 0.8333 0.3335 0.5000
Ho3 Ho 0.6667 0.6666 0.0000
Ho4 Ho 0.3333 0.3334 0.0000
Ho5 Ho 0.1667 0.6665 0.5000
Tb1 Tb 0.0000 0.0000 0.0000
Tm1 Tm 0.4164 0.6666 0.7496
Tm2 Tm 0.2504 0.0000 0.2503
Tm3 Tm 0.9170 0.6666 0.2504
Tm4 Tm 0.0830 0.3334 0.7496
Tm5 Tm 0.5836 0.3334 0.2504
Tm6 Tm 0.7496 0.0000 0.7497
# E_tot: -54.07 eV for the cell shown
# E_form: 26.9 kJ/mol of formula units

Entry 6:
# PBE Tb5Ho4Tm4, relaxed
data_Tb5Ho4Tm4
_space_group_name_H-M_alt 'P 1'
_space_group_IT_number 1
_space_group_name_Hall 'P 1'
_cell_length_a 4.9726
_cell_length_b 9.3110
_cell_length_c 9.3110
_cell_angle_alpha 85.91
_cell_angle_beta 74.51
_cell_angle_gamma 74.51
loop_
_atom_site_label
_atom_site_type_symbol
_atom_site_fract_x
_atom_site_fract_y
_atom_site_fract_z
Ho1 Ho 0.7684 0.3857 0.0776
Ho2 Ho 0.8459 0.9224 0.3857
Ho3 Ho 0.1541 0.0776 0.6143
Ho4 Ho 0.2316 0.6143 0.9224
Tm1 Tm 0.6144 0.3091 0.4620
Tm2 Tm 0.9236 0.4620 0.6909
Tm3 Tm 0.3856 0.6909 0.5380
Tm4 Tm 0.0764 0.5380 0.3091
Tb1 Tb 0.0000 0.0000 0.0000
Tb2 Tb 0.4614 0.2321 0.8451
Tb3 Tb 0.6935 0.8451 0.7679
Tb4 Tb 0.5386 0.7679 0.1549
Tb5 Tb 0.3065 0.1549 0.2321
# E_tot: -59.09 eV for the cell shown
# E_form: 24.6 kJ/mol of formula units

> Which of these has the highest E_form?

Tb3Ho2Tm6